## V3SbO (GGA+U)

Data for V3SbO after structural relaxation.

a = 4.122 Å, b = 4.122 Å, c = 4.122 Å
α = 90.00°, β = 90.00°, γ = 90.00°
Fractional positions:
V (0.000, 0.500, 0.000)
V (0.500, 0.000, 0.000)
V (0.000, 0.000, 0.500)
O (0.000, 0.000, 0.000)
Sb (0.500, 0.500, 0.500)

Calculated values
spin magnetization	1.8	μB/f.u.
relative energy among the computed polymorphs	0	meV per atom
space group	Pm-3m (221)
volume	14.01	Å³/atom